Record 1
4
Lattice="-3.245 0.418 -0.677 -0.786 -1.232 3.005 0.230 5.627 2.368" Properties=species:S:1:pos:R:3 comment="ScTlFe2 | Alexandria via LeMat-Bulk | PBE | relaxed" e_tot_ev_per_atom=-6.160 total_magnetization_mub_per_fu=4.02 formation_energy_ev_per_atom=0.246 pbc="T T T"
Sc -1.958 0.999 1.756
Fe 0.109 2.659 1.119
Fe 0.006 0.154 0.065
Tl -1.843 3.813 2.940

Record 2
16
Lattice="4.504 0.000 0.000 0.000 4.504 0.000 0.000 0.000 17.751" Properties=species:S:1:pos:R:3 comment="Sc12Tl3Fe | Alexandria via LeMat-Bulk | PBE | relaxed" e_tot_ev_per_atom=-5.843 total_magnetization_mub_per_fu=4.63 formation_energy_ev_per_atom=-0.122 pbc="T T T"
Sc 0.000 2.252 1.956
Sc 0.000 2.252 6.593
Sc 2.252 0.000 1.956
Sc 2.252 2.252 13.435
Sc 0.000 2.252 11.158
Sc 2.252 0.000 6.593
Sc 2.252 2.252 0.000
Sc 2.252 0.000 15.794
Sc 2.252 0.000 11.158
Sc 2.252 2.252 8.875
Sc 0.000 2.252 15.794
Sc 2.252 2.252 4.316
Fe 0.000 0.000 0.000
Tl 0.000 0.000 8.875
Tl 0.000 0.000 13.434
Tl 0.000 0.000 4.317

Record 3
9
Lattice="-2.644 1.523 2.154 4.664 -1.333 6.666 0.687 7.083 -4.162" Properties=species:S:1:pos:R:3 comment="Tm3Sc3Tl2Fe | Alexandria via LeMat-Bulk | PBE | relaxed" e_tot_ev_per_atom=-5.298 total_magnetization_mub_per_fu=0.07 formation_energy_ev_per_atom=-0.231 pbc="T T T"
Fe 0.000 0.000 0.000
Sc 2.282 -0.269 6.228
Sc -0.106 2.068 1.646
Sc -0.791 6.235 -2.139
Tl 0.691 5.039 0.524
Tl 2.017 2.234 4.134
Tm 1.794 -0.513 2.563
Tm 3.293 3.539 1.541
Tm 0.264 2.724 -1.601